No. 1
# meta-GGA SCAN VOF2, PBEsol geometry
data_VOF2
_chemical_formula_sum 'V6 O6 F12'
_symmetry_space_group_name_H-M 'P 1'
_symmetry_Int_Tables_number 1
_symmetry_space_group_name_Hall 'P 1'
_cell_length_a 5.198
_cell_length_b 5.198
_cell_length_c 12.948
_cell_angle_alpha 90.00
_cell_angle_beta 90.00
_cell_angle_gamma 120.00
loop_
_atom_site_label
_atom_site_type_symbol
_atom_site_fract_x
_atom_site_fract_y
_atom_site_fract_z
F1 F 0.425 0.657 0.247
O1 O 0.536 0.211 0.250
O2 O 0.106 0.434 0.416
F2 F 0.217 0.987 0.418
V1 V 0.312 0.317 0.334
V2 V 0.683 0.995 0.667
V3 V 0.395 0.382 0.834
F3 F 0.661 0.555 0.419
V4 V 0.987 0.605 0.500
F4 F 0.979 0.088 0.249
O3 O 0.566 0.672 0.749
F5 F 0.109 0.021 0.916
F6 F 0.343 0.768 0.580
F7 F 0.445 0.105 0.753
F8 F 0.770 0.783 0.084
O4 O 0.328 0.894 0.082
F9 F 0.232 0.575 0.914
V5 V 0.618 0.013 0.167
O5 O 0.675 0.464 0.917
F10 F 0.013 0.230 0.751
F11 F 0.895 0.339 0.086
O6 O 0.789 0.325 0.584
V6 V 0.005 0.688 0.001
F12 F 0.912 0.891 0.582
# Magnetic moment: 0.25 μB per atom
# Raw formation energy: -2.935 eV/atom
# Total energy: -42.5 eV/f.u.

No. 2
# meta-GGA SCAN GeP2WO, PBEsol geometry
data_GeP2WO
_chemical_formula_sum 'Ge1 P2 W1 O1'
_symmetry_space_group_name_H-M 'P 1'
_symmetry_Int_Tables_number 1
_symmetry_space_group_name_Hall 'P 1'
_cell_length_a 3.459
_cell_length_b 4.699
_cell_length_c 4.699
_cell_angle_alpha 90.00
_cell_angle_beta 90.00
_cell_angle_gamma 90.00
loop_
_atom_site_label
_atom_site_type_symbol
_atom_site_fract_x
_atom_site_fract_y
_atom_site_fract_z
O1 O 0.500 0.000 0.000
P1 P 0.000 0.500 0.000
Ge1 Ge 0.000 0.000 0.000
W1 W 0.500 0.500 0.500
P2 P 0.000 0.000 0.500
# Magnetic moment: 0.43 μB per atom
# Raw formation energy: 0.810 eV/atom
# Total energy: -111.8 eV/f.u.

No. 3
# meta-GGA SCAN GaSnHg2, PBEsol geometry
data_GaSnHg2
_chemical_formula_sum 'Ga1 Sn1 Hg2'
_symmetry_space_group_name_H-M 'P 1'
_symmetry_Int_Tables_number 1
_symmetry_space_group_name_Hall 'P 1'
_cell_length_a 5.046
_cell_length_b 5.046
_cell_length_c 5.046
_cell_angle_alpha 60.00
_cell_angle_beta 60.00
_cell_angle_gamma 60.00
loop_
_atom_site_label
_atom_site_type_symbol
_atom_site_fract_x
_atom_site_fract_y
_atom_site_fract_z
Hg1 Hg 0.250 0.250 0.250
Sn1 Sn 0.500 0.500 0.500
Ga1 Ga 0.000 0.000 0.000
Hg2 Hg 0.750 0.750 0.750
# Magnetic moment: 0.00 μB per atom
# Total energy: -187.8 eV/f.u.
# Formation energy from the elements: 0.192 eV per atom
# Relative energy among the computed polymorphs: 71 meV per atom